Entry 1:
The following is a SCAN calculation of a crystal of FeRh2I relaxed with PBEsol, from Alexandria.

Uncorrected formation energy: 0.530 eV/atom

a = 6.271 Å, b = 6.271 Å, c = 6.271 Å
α = 90.00°, β = 90.00°, γ = 90.00°
Sites, in units of the cell vectors:
Fe 0.000 0.000 0.000
Fe 0.000 0.500 0.500
Fe 0.500 0.000 0.500
Fe 0.500 0.500 0.000
Rh 0.250 0.250 0.250
Rh 0.250 0.250 0.750
Rh 0.250 0.750 0.250
Rh 0.250 0.750 0.750
Rh 0.750 0.250 0.250
Rh 0.750 0.250 0.750
Rh 0.750 0.750 0.250
Rh 0.750 0.750 0.750
I 0.000 0.000 0.500
I 0.000 0.500 0.000
I 0.500 0.000 0.000
I 0.500 0.500 0.500

Entry 2:
The following is a SCAN calculation of a crystal of FeRuRh2I relaxed with PBEsol, from Alexandria.

Uncorrected formation energy: 1.694 eV/atom

a = 4.699 Å, b = 4.699 Å, c = 4.546 Å
α = 90.00°, β = 90.00°, γ = 90.00°
Sites, in units of the cell vectors:
Fe 0.000 0.000 0.000
Ru 0.500 0.500 0.000
Rh 0.000 0.500 0.500
Rh 0.500 0.000 0.500
I 0.000 0.000 0.500

Entry 3:
The following is a SCAN calculation of a crystal of Fe3RuI relaxed with PBEsol, from Alexandria.

Uncorrected formation energy: 1.249 eV/atom

a = 4.592 Å, b = 4.592 Å, c = 4.592 Å
α = 90.00°, β = 90.00°, γ = 90.00°
Sites, in units of the cell vectors:
Fe 0.000 0.000 0.500
Fe 0.000 0.500 0.000
Fe 0.500 0.000 0.000
Ru 0.000 0.000 0.000
I 0.500 0.500 0.500

Entry 4:
The following is a SCAN calculation of a crystal of FeS3I relaxed with PBEsol, from Alexandria.

Uncorrected formation energy: 1.214 eV/atom

a = 4.998 Å, b = 4.998 Å, c = 4.998 Å
α = 90.00°, β = 90.00°, γ = 90.00°
Sites, in units of the cell vectors:
Fe 0.000 0.000 0.000
S 0.000 0.500 0.500
S 0.500 0.000 0.500
S 0.500 0.500 0.000
I 0.500 0.500 0.500

Entry 5:
The following is a SCAN calculation of a crystal of FeS2I relaxed with PBEsol, from Alexandria.

Uncorrected formation energy: -0.112 eV/atom

a = 3.467 Å, b = 3.467 Å, c = 22.279 Å
α = 90.00°, β = 90.00°, γ = 120.00°
Sites, in units of the cell vectors:
Fe 0.000 0.000 0.000
Fe 0.333 0.667 0.667
Fe 0.667 0.333 0.333
S 0.000 0.000 0.380
S 0.000 0.000 0.620
S 0.333 0.667 0.047
S 0.333 0.667 0.286
S 0.667 0.333 0.714
S 0.667 0.333 0.953
I 0.000 0.000 0.500
I 0.333 0.667 0.167
I 0.667 0.333 0.833

Entry 6:
The following is a SCAN calculation of a crystal of FeTeSI2 relaxed with PBEsol, from Alexandria.

Uncorrected formation energy: 0.842 eV/atom

a = 5.225 Å, b = 5.225 Å, c = 5.481 Å
α = 90.00°, β = 90.00°, γ = 90.00°
Sites, in units of the cell vectors:
Fe 0.000 0.000 0.000
Te 0.500 0.500 0.000
S 0.500 0.500 0.500
I 0.000 0.500 0.500
I 0.500 0.000 0.500

Entry 7:
The following is a SCAN calculation of a crystal of Fe3SbI relaxed with PBEsol, from Alexandria.

Uncorrected formation energy: 1.028 eV/atom

a = 4.914 Å, b = 4.914 Å, c = 4.914 Å
α = 90.00°, β = 90.00°, γ = 90.00°
Sites, in units of the cell vectors:
Fe 0.000 0.000 0.500
Fe 0.000 0.500 0.000
Fe 0.500 0.000 0.000
Sb 0.000 0.000 0.000
I 0.500 0.500 0.500

Entry 8:
The following is a SCAN calculation of a crystal of TaFeSbI2 relaxed with PBEsol, from Alexandria.

Uncorrected formation energy: 0.997 eV/atom

a = 5.367 Å, b = 5.367 Å, c = 5.460 Å
α = 90.00°, β = 90.00°, γ = 90.00°
Sites, in units of the cell vectors:
Ta 0.000 0.000 0.000
Fe 0.500 0.500 0.500
Sb 0.000 0.000 0.500
I 0.000 0.500 0.000
I 0.500 0.000 0.000